Entry 1:
Here is a geometry-optimized PaBeAg structure from Alexandria. Energies are from PBE.

```
PaBeAg
1.0
0.0000 4.5638 9.4753
2.4626 0.0000 9.4753
2.4626 4.5638 0.0000
Pa Be Ag
4 4 4
Direct
0.0477 0.7023 0.0477
0.2977 0.9523 0.2977
0.7023 0.0477 0.7023
0.9523 0.2977 0.9523
0.0018 0.0018 0.2482
0.2482 0.2482 0.0018
0.7518 0.7518 0.9982
0.9982 0.9982 0.7518
0.2909 0.2909 0.4591
0.4591 0.4591 0.2909
0.5409 0.5409 0.7091
0.7091 0.7091 0.5409
```

Calculated values
- calculated formation energy (eV/atom) = 0.287
- space-group type = Fddd


Entry 2:
Here is a geometry-optimized MnCoAs2 structure from Alexandria. Energies are from PBE.

```
MnCoAs2
1.0
-2.2830 2.2830 6.7369
2.2830 -2.2830 6.7369
2.2830 2.2830 -6.7369
Mn Co As
2 2 4
Direct
0.0000 0.0000 0.0000
0.7500 0.2500 0.5000
0.2500 0.7500 0.5000
0.5000 0.5000 0.0000
0.1554 0.6250 0.0304
0.3750 0.4054 0.5304
0.5946 0.1250 0.9696
0.8750 0.8446 0.4696
```

Calculated values
- calculated formation energy (eV/atom) = 0.133
- space-group type = I-42d


Entry 3:
Here is a geometry-optimized Ce5Dy3Tm12 structure from Alexandria. Energies are from PBE.

```
Ce5Dy3Tm12
1.0
-9.1323 9.1323 9.1323
9.1323 -9.1323 9.1323
9.1323 9.1323 -9.1323
Ce Dy Tm
20 12 48
Direct
0.0000 0.0000 0.0000
0.0000 0.0000 0.5000
0.0000 0.5000 0.0000
0.0000 0.5000 0.5000
0.1250 0.7500 0.8750
0.1250 0.8750 0.2500
0.2500 0.1250 0.8750
0.2500 0.6250 0.3750
0.3750 0.2500 0.6250
0.3750 0.6250 0.7500
0.5000 0.0000 0.0000
0.5000 0.0000 0.5000
0.5000 0.5000 0.0000
0.5000 0.5000 0.5000
0.6250 0.3750 0.2500
0.6250 0.7500 0.3750
0.7500 0.3750 0.6250
0.7500 0.8750 0.1250
0.8750 0.1250 0.7500
0.8750 0.2500 0.1250
0.1250 0.2500 0.3750
0.1250 0.3750 0.7500
0.2500 0.3750 0.1250
0.2500 0.8750 0.6250
0.3750 0.1250 0.2500
0.3750 0.7500 0.1250
0.6250 0.2500 0.8750
0.6250 0.8750 0.7500
0.7500 0.1250 0.3750
0.7500 0.6250 0.8750
0.8750 0.6250 0.2500
0.8750 0.7500 0.6250
0.0704 0.6411 0.4162
0.0704 0.9293 0.6542
0.0707 0.2249 0.1411
0.0707 0.3458 0.9296
0.0838 0.7249 0.6542
0.0838 0.8589 0.4296
0.1411 0.0707 0.2249
0.1411 0.5704 0.9162
0.1542 0.2249 0.5838
0.1542 0.4293 0.5704
0.2249 0.1411 0.0707
0.2249 0.5838 0.1542
0.2751 0.3458 0.9162
0.2751 0.4293 0.3589
0.3458 0.9162 0.2751
0.3458 0.9296 0.0707
0.3589 0.2751 0.4293
0.3589 0.5838 0.9296
0.4162 0.0704 0.6411
0.4162 0.8458 0.7751
0.4293 0.3589 0.2751
0.4293 0.5704 0.1542
0.4296 0.0838 0.8589
0.4296 0.8458 0.5707
0.5704 0.1542 0.4293
0.5704 0.9162 0.1411
0.5707 0.4296 0.8458
0.5707 0.6411 0.7249
0.5838 0.1542 0.2249
0.5838 0.9296 0.3589
0.6411 0.4162 0.0704
0.6411 0.7249 0.5707
0.6542 0.0704 0.9293
0.6542 0.0838 0.7249
0.7249 0.5707 0.6411
0.7249 0.6542 0.0838
0.7751 0.4162 0.8458
0.7751 0.8589 0.9293
0.8458 0.5707 0.4296
0.8458 0.7751 0.4162
0.8589 0.4296 0.0838
0.8589 0.9293 0.7751
0.9162 0.1411 0.5704
0.9162 0.2751 0.3458
0.9293 0.6542 0.0704
0.9293 0.7751 0.8589
0.9296 0.0707 0.3458
0.9296 0.3589 0.5838
```

Calculated values
- calculated formation energy (eV/atom) = 1.069
- space-group type = Ia-3d